Computed, not measured: Cs8ICl2 after structural relaxation at the PBE level of DFT.

```
data_Cs8ICl2
_chemical_formula_sum 'Cs16 I2 Cl4'
_cell_length_a 18.3984
_cell_length_b 14.6076
_cell_length_c 7.0461
_cell_angle_alpha 90.00
_cell_angle_beta 91.55
_cell_angle_gamma 90.00
_symmetry_space_group_name_H-M 'C 1 2/m 1'
_symmetry_Int_Tables_number 12
loop_
_symmetry_equiv_pos_as_xyz
'x,y,z'
'-x,-y,-z'
'-x,y,-z'
'x,-y,z'
'x+1/2,y+1/2,z'
'-x+1/2,-y+1/2,-z'
'-x+1/2,y+1/2,-z'
'x+1/2,-y+1/2,z'
loop_
_atom_site_label
_atom_site_type_symbol
_atom_site_fract_x
_atom_site_fract_y
_atom_site_fract_z
_atom_site_occupancy
Cs1 Cs 0.1094 0.0000 0.2608 1
Cs2 Cs 0.1098 0.3016 0.7536 1
Cs3 Cs 0.1975 0.5000 0.2207 1
I1 I 0.0000 0.5000 0.0000 1
Cl1 Cl 0.2070 0.5000 0.7108 1
```

## Properties
Total moment in Bohr magnetons per cell: 0.00
Formation energy (no corrections) in eV per atom: -0.918
Total DFT energy (no corrections) in eV for the cell shown: -44.34
Theoretical density in Mg/m³: 2.212

---

Computed, not measured: Hg3Ge5Br16 after structural relaxation at the PBE level of DFT.

```
data_Hg3Ge5Br16
_chemical_formula_sum 'Hg6 Ge10 Br32'
_cell_length_a 14.7320
_cell_length_b 8.3069
_cell_length_c 13.7880
_cell_angle_alpha 90.00
_cell_angle_beta 91.80
_cell_angle_gamma 90.00
_symmetry_space_group_name_H-M 'C 1 m 1'
_symmetry_Int_Tables_number 8
loop_
_symmetry_equiv_pos_as_xyz
'x,y,z'
'x,-y,z'
'x+1/2,y+1/2,z'
'x+1/2,-y+1/2,z'
loop_
_atom_site_label
_atom_site_type_symbol
_atom_site_fract_x
_atom_site_fract_y
_atom_site_fract_z
_atom_site_occupancy
Hg1 Hg 0.0000 0.0000 0.0000 1
Hg2 Hg 0.4072 0.2515 0.5150 1
Ge1 Ge 0.1462 0.0000 0.2588 1
Ge2 Ge 0.1689 0.5000 0.5257 1
Ge3 Ge 0.2388 0.2679 0.0283 1
Ge4 Ge 0.4763 0.0000 0.7624 1
Br1 Br 0.0466 0.2660 0.6663 1
Br2 Br 0.0675 0.2220 0.1537 1
Br3 Br 0.1566 0.0000 0.9035 1
Br4 Br 0.1606 0.5000 0.9168 1
Br5 Br 0.2337 0.2644 0.4224 1
Br6 Br 0.2979 0.0000 0.1660 1
Br7 Br 0.3047 0.5000 0.1471 1
Br8 Br 0.3168 0.5000 0.6381 1
Br9 Br 0.3312 0.0000 0.6537 1
Br10 Br 0.3917 0.2537 0.9299 1
Br11 Br 0.4742 0.0000 0.4073 1
Br12 Br 0.4876 0.5000 0.4181 1
```

## Properties
Total moment in Bohr magnetons per cell: 0.00
Formation energy (no corrections) in eV per atom: -0.491
Total DFT energy (no corrections) in eV for the cell shown: -125.10
Theoretical density in Mg/m³: 4.418

---

Computed, not measured: Tc2BRuS after structural relaxation at the PBE level of DFT.

```
data_Tc2BRuS
_chemical_formula_sum 'Tc2 B1 Ru1 S1'
_cell_length_a 4.4585
_cell_length_b 4.4585
_cell_length_c 3.5608
_cell_angle_alpha 90.00
_cell_angle_beta 90.00
_cell_angle_gamma 90.00
_symmetry_space_group_name_H-M 'P 4/m m m'
_symmetry_Int_Tables_number 123
_symmetry_space_group_name_Hall '-P 4 2'
loop_
_atom_site_label
_atom_site_type_symbol
_atom_site_fract_x
_atom_site_fract_y
_atom_site_fract_z
_atom_site_occupancy
Tc1 Tc 0.0000 0.5000 0.0000 1
B1 B 0.0000 0.0000 0.5000 1
Ru1 Ru 0.5000 0.5000 0.5000 1
S1 S 0.0000 0.0000 0.0000 1
```

## Properties
Total moment in Bohr magnetons per cell: 1.52
Formation energy (no corrections) in eV per atom: 1.251
Total DFT energy (no corrections) in eV for the cell shown: -34.56
Theoretical density in Mg/m³: 7.975

---

Computed, not measured: LaPr6Dy5 after structural relaxation at the PBE level of DFT.

```
data_LaPr6Dy5
_chemical_formula_sum 'La2 Pr12 Dy10'
_cell_length_a 5.1830
_cell_length_b 10.2546
_cell_length_c 15.4976
_cell_angle_alpha 90.00
_cell_angle_beta 90.00
_cell_angle_gamma 90.00
_symmetry_space_group_name_H-M 'I m m m'
_symmetry_Int_Tables_number 71
_symmetry_space_group_name_Hall '-I 2 2'
loop_
_atom_site_label
_atom_site_type_symbol
_atom_site_fract_x
_atom_site_fract_y
_atom_site_fract_z
_atom_site_occupancy
La1 La 0.0000 0.0000 0.0000 1
Pr1 Pr 0.0000 0.2467 0.5000 1
Pr2 Pr 0.0000 0.2519 0.1668 1
Dy1 Dy 0.0000 0.0000 0.3324 1
Dy2 Dy 0.0000 0.5000 0.0000 1
Dy3 Dy 0.0000 0.5000 0.3319 1
```

## Properties
Total moment in Bohr magnetons per cell: 0.00
Total DFT energy (no corrections) in eV for the cell shown: -112.80
Theoretical density in Mg/m³: 7.245

---

> Number 4 is which compound?

LaPr6Dy5